Computed, not measured: crystalline SrTbPr at its relaxed geometry at the GGA-PBE level of DFT.

Cell: 4.2116 4.2116 13.7398 Å, 90.00 90.00 90.00°
Last column: nearest neighbours and their distance in Å.
Atoms (fractional coordinates):
Sr (0.0000, 0.0000, 0.0000)  4 Tb 3.86, 8 Sr 4.21-4.28
Sr (0.5000, 0.5000, 0.2241)  4 Pr 3.98, 8 Sr 4.21-4.28
Tb (0.5000, 0.5000, 0.5496)  8 Pr 3.50-3.51, 1 Tb 3.73
Tb (0.5000, 0.5000, 0.8209)  4 Pr 3.52, 1 Tb 3.73, 4 Sr 3.86
Pr (0.0000, 0.0000, 0.4160)  4 Tb 3.50, 1 Pr 3.69
Pr (0.0000, 0.0000, 0.6845)  8 Tb 3.51-3.52, 1 Pr 3.69

Summary:
calculated formation energy	0.114	eV per atom
ΔE to the lowest computed polymorph	0.015	eV/atom

Computed, not measured: crystalline SrTbPr at its relaxed geometry at the GGA-PBE level of DFT.

Cell: 3.7895 3.7895 9.4279 Å, 90.00 90.00 120.00°
Last column: nearest neighbours and their distance in Å.
Atoms (fractional coordinates):
Sr (0.0000, 0.0000, 0.0000)  6 Sr 3.79, 3 Tb 3.93, 3 Pr 4.03
Tb (0.3333, 0.6667, 0.6540)  3 Pr 3.54, 6 Tb 3.79, 3 Sr 3.93
Pr (0.6667, 0.3333, 0.3592)  3 Tb 3.54, 6 Pr 3.79

Summary:
calculated formation energy	0.117	eV per atom
ΔE to the lowest computed polymorph	0.018	eV/atom

Computed, not measured: crystalline SrTbPr2 at its relaxed geometry at the GGA-PBE level of DFT.

Cell: 5.3426 5.3426 5.2904 Å, 90.00 90.00 90.00°
Last column: nearest neighbours and their distance in Å.
Atoms (fractional coordinates):
Sr (0.0000, 0.0000, 0.0000)  8 Pr 3.76, 4 Tb 3.78
Tb (0.5000, 0.5000, 0.0000)  8 Pr 3.76, 4 Sr 3.78
Pr (0.0000, 0.5000, 0.5000)  4 Tb 3.76, 4 Sr 3.76, 4 Pr 3.78
Pr (0.5000, 0.0000, 0.5000)  4 Tb 3.76, 4 Sr 3.76, 4 Pr 3.78

Summary:
calculated formation energy	0.154	eV per atom
ΔE to the lowest computed polymorph	0.076	eV/atom